# 1
The following is a PBE calculation of crystalline ReTc6Os2 at its relaxed geometry, from the Alexandria database. Values from VASP.

Properties
- E_form: 0.136 eV/atom
- Size of the total moment: 0.0 Bohr magnetons per cell
- E: -10.65 eV per atom
- Fermi-level density of states: 16.43 states/eV per cell

Geometry as Quantum ESPRESSO input:
```
&SYSTEM
  ibrav = 0, nat = 18, ntyp = 3
/
ATOMIC_SPECIES
Tc 98.00 Tc.upf
Re 186.21 Re.upf
Os 190.23 Os.upf
CELL_PARAMETERS angstrom
-2.646 -0.013 6.300
-2.043 -6.269 2.335
4.946 -3.787 2.809
ATOMIC_POSITIONS crystal
Tc 0.593 0.453 0.342
Tc 0.342 0.953 0.593
Tc 0.018 0.315 0.182
Tc 0.939 0.145 0.610
Tc 0.818 0.185 0.982
Tc 0.610 0.645 0.939
Tc 0.407 0.547 0.658
Tc 0.061 0.855 0.390
Tc 0.982 0.685 0.818
Tc 0.658 0.047 0.407
Tc 0.182 0.815 0.018
Tc 0.390 0.355 0.061
Re 0.174 0.250 0.826
Re 0.826 0.750 0.174
Os 0.794 0.566 0.593
Os 0.593 0.066 0.794
Os 0.206 0.434 0.407
Os 0.407 0.934 0.206
```

---

# 2
The following is a PBE calculation of crystalline GaRe2SbRh at its relaxed geometry, from the Alexandria database. Values from VASP.

Properties
- Size of the total moment: 0.0 Bohr magnetons per cell
- E: -6.46 eV per atom
- Fermi-level density of states: 5.60 states/eV per cell
- ΔE_f (raw): 137.4 kJ per mole of atoms

Geometry as Quantum ESPRESSO input:
```
&SYSTEM
  ibrav = 0, nat = 5, ntyp = 4
/
ATOMIC_SPECIES
Sb 121.76 Sb.upf
Re 186.21 Re.upf
Rh 102.91 Rh.upf
Ga 69.72 Ga.upf
CELL_PARAMETERS angstrom
-1.208 -4.296 1.195
4.107 -0.717 1.571
-1.323 1.528 4.155
ATOMIC_POSITIONS crystal
Sb 0.500 0.500 0.500
Re 0.500 0.000 0.000
Re 0.000 0.000 0.500
Rh 0.000 0.500 0.000
Ga 0.000 0.000 0.000
```

---

# 3
The following is a PBE calculation of crystalline HfBeSi3 at its relaxed geometry, from the Alexandria database. Values from VASP.

Properties
- Size of the total moment: 0.0 Bohr magnetons per cell
- E: -5.46 eV per atom
- Fermi-level density of states: 3.19 states/eV per cell
- Excess energy over the best structure of this formula in the dataset: 0.0 meV/atom
- ΔE_f (raw): 51.5 kJ per mole of atoms

Geometry as Quantum ESPRESSO input:
```
&SYSTEM
  ibrav = 0, nat = 5, ntyp = 3
/
ATOMIC_SPECIES
Si 28.09 Si.upf
Hf 178.49 Hf.upf
Be 9.01 Be.upf
CELL_PARAMETERS angstrom
-2.216 -3.517 -1.070
-0.300 -1.072 4.146
-3.664 2.215 0.308
ATOMIC_POSITIONS crystal
Si 0.000 0.000 0.500
Si 0.000 0.500 0.000
Si 0.500 0.000 0.000
Hf 0.500 0.500 0.500
Be 0.000 0.000 0.000
```

---

# 4
The following is a PBE calculation of crystalline ZrSi2Tc at its relaxed geometry, from the Alexandria database. Values from VASP.

Properties
- Size of the total moment: 0.0 Bohr magnetons per cell
- E: -7.90 eV per atom
- Fermi-level density of states: 1.09 states/eV per cell
- Excess energy over the best structure of this formula in the dataset: 62.9 meV/atom
- ΔE_f (raw): -44.8 kJ per mole of atoms

Geometry as Quantum ESPRESSO input:
```
&SYSTEM
  ibrav = 0, nat = 4, ntyp = 3
/
ATOMIC_SPECIES
Si 28.09 Si.upf
Zr 91.22 Zr.upf
Tc 98.00 Tc.upf
CELL_PARAMETERS angstrom
-3.141 -1.829 2.098
-1.565 -0.478 -2.760
2.199 -4.387 -0.532
ATOMIC_POSITIONS crystal
Si 0.000 0.243 0.999
Si 0.000 0.257 0.501
Zr 0.500 0.750 0.750
Tc 0.500 0.250 0.250
```

---

# 5
The following is a PBE calculation of crystalline Pr3Sm6Tm2 at its relaxed geometry, from the Alexandria database. Values from VASP.

Properties
- E_form: 0.270 eV/atom
- Size of the total moment: 0.0 Bohr magnetons per cell
- E: -4.42 eV per atom
- Fermi-level density of states: 15.09 states/eV per cell
- Excess energy over the best structure of this formula in the dataset: 252.1 meV/atom

Geometry as Quantum ESPRESSO input:
```
&SYSTEM
  ibrav = 0, nat = 11, ntyp = 3
/
ATOMIC_SPECIES
Sm 150.36 Sm.upf
Tm 168.93 Tm.upf
Pr 140.91 Pr.upf
CELL_PARAMETERS angstrom
4.826 0.000 0.000
0.000 4.826 0.000
-2.413 -2.413 16.774
ATOMIC_POSITIONS crystal
Sm 0.119 0.619 0.237
Sm 0.619 0.119 0.237
Sm 0.693 0.693 0.387
Sm 0.307 0.307 0.613
Sm 0.881 0.381 0.763
Sm 0.381 0.881 0.763
Tm 0.546 0.546 0.091
Tm 0.454 0.454 0.909
Pr 0.797 0.797 0.594
Pr 0.000 0.000 0.000
Pr 0.203 0.203 0.406
```

---

# 6
The following is a PBE calculation of crystalline Er4Ag3Pd at its relaxed geometry, from the Alexandria database. Values from VASP.

Properties
- E_form: -0.490 eV/atom
- Size of the total moment: 0.0 Bohr magnetons per cell
- E: -4.49 eV per atom
- Fermi-level density of states: 2.32 states/eV per cell

Geometry as Quantum ESPRESSO input:
```
&SYSTEM
  ibrav = 0, nat = 8, ntyp = 3
/
ATOMIC_SPECIES
Ag 107.87 Ag.upf
Er 167.26 Er.upf
Pd 106.42 Pd.upf
CELL_PARAMETERS angstrom
-2.071 -2.821 -0.662
2.864 -2.116 0.056
-1.764 -2.017 14.114
ATOMIC_POSITIONS crystal
Ag 0.500 0.500 0.246
Ag 0.500 0.500 0.500
Ag 0.500 0.500 0.754
Er 0.000 0.000 0.117
Er 0.000 0.000 0.628
Er 0.000 0.000 0.372
Er 0.000 0.000 0.883
Pd 0.500 0.500 0.000
```

---

# 7
The following is a PBE calculation of crystalline PuAlOsRu at its relaxed geometry, from the Alexandria database. Values from VASP.

Properties
- E_form: -0.275 eV/atom
- Size of the total moment: 3.7 Bohr magnetons per cell
- E: -9.92 eV per atom
- Fermi-level density of states: 2.45 states/eV per cell

Geometry as Quantum ESPRESSO input:
```
&SYSTEM
  ibrav = 0, nat = 4, ntyp = 4
/
ATOMIC_SPECIES
Os 190.23 Os.upf
Al 26.98 Al.upf
Pu 244.00 Pu.upf
Ru 101.07 Ru.upf
CELL_PARAMETERS angstrom
4.540 0.000 0.000
2.270 3.932 0.000
2.270 1.311 3.707
ATOMIC_POSITIONS crystal
Os 0.500 0.500 0.500
Al 0.750 0.750 0.750
Pu 0.250 0.250 0.250
Ru 0.000 0.000 0.000
```

---

# 8
The following is a PBE calculation of crystalline CrMo2HRu at its relaxed geometry, from the Alexandria database. Values from VASP.

Properties
- Size of the total moment: 0.0 Bohr magnetons per cell
- E: -6.55 eV per atom
- Fermi-level density of states: 8.26 states/eV per cell
- Excess energy over the best structure of this formula in the dataset: 2096.2 meV/atom

Geometry as Quantum ESPRESSO input:
```
&SYSTEM
  ibrav = 0, nat = 5, ntyp = 4
/
ATOMIC_SPECIES
Cr 52.00 Cr.upf
Mo 95.94 Mo.upf
H 1.01 H.upf
Ru 101.07 Ru.upf
CELL_PARAMETERS angstrom
4.714 0.000 0.000
0.000 4.408 0.000
0.000 0.000 4.714
ATOMIC_POSITIONS crystal
Cr 0.000 0.500 0.000
Mo 0.000 0.000 0.500
Mo 0.500 0.000 0.000
H 0.500 0.500 0.500
Ru 0.000 0.000 0.000
```

---

# 9
The following is a PBE calculation of crystalline Sb2Ru3 at its relaxed geometry, from the Alexandria database. Values from VASP.

Properties
- Size of the total moment: 0.0 Bohr magnetons per cell
- E: -7.05 eV per atom
- Fermi-level density of states: 7.10 states/eV per cell
- ΔE_f (raw): 16.3 kJ per mole of atoms

Geometry as Quantum ESPRESSO input:
```
&SYSTEM
  ibrav = 0, nat = 10, ntyp = 2
/
ATOMIC_SPECIES
Sb 121.76 Sb.upf
Ru 101.07 Ru.upf
CELL_PARAMETERS angstrom
0.000 5.748 6.085
2.498 0.000 6.085
2.498 5.748 0.000
ATOMIC_POSITIONS crystal
Sb 0.865 0.228 0.492
Sb 0.758 0.835 0.385
Sb 0.415 0.492 0.228
Sb 0.022 0.385 0.835
Ru 0.800 0.914 0.800
Ru 0.934 0.066 0.066
Ru 0.450 0.764 0.450
Ru 0.486 0.800 0.914
Ru 0.336 0.450 0.764
Ru 0.184 0.316 0.316
```

---

# 10
The following is a PBE calculation of crystalline Dy2Ni9Au at its relaxed geometry, from the Alexandria database. Values from VASP.

Properties
- E_form: -0.214 eV/atom
- Size of the total moment: 2.8 Bohr magnetons per cell
- E: -5.59 eV per atom
- Fermi-level density of states: 11.38 states/eV per cell

Geometry as Quantum ESPRESSO input:
```
&SYSTEM
  ibrav = 0, nat = 12, ntyp = 3
/
ATOMIC_SPECIES
Ni 58.69 Ni.upf
Dy 162.50 Dy.upf
Au 196.97 Au.upf
CELL_PARAMETERS angstrom
4.924 0.000 0.000
2.462 4.264 0.000
2.462 1.421 7.985
ATOMIC_POSITIONS crystal
Ni 0.081 0.583 0.754
Ni 0.583 0.583 0.754
Ni 0.667 0.667 0.999
Ni 0.919 0.417 0.246
Ni 0.333 0.333 0.001
Ni 0.583 0.081 0.754
Ni 0.417 0.919 0.246
Ni 0.500 0.500 0.500
Ni 0.417 0.417 0.246
Dy 0.866 0.866 0.402
Dy 0.134 0.134 0.598
Au 0.000 0.000 0.000
```